# 1
Material: UHgTe3Au
Method: DFT, PBE-GGA
State: relaxed

The value obtained for the density of states at the Fermi level is 10.35 states/eV/cell. The value obtained for the total energy is -53.0 eV per cell. The total magnetization is 1.0 μB per formula unit.

Structure (extended XYZ):
```
12
Lattice="-2.923 -2.434 1.805 0.831 -3.329 -8.053 7.843 -6.749 3.600" Properties=species:S:1:pos:R:3 pbc="T T T"
U 3.922 -3.375 1.800
U 0.000 0.000 0.000
Hg 4.114 -8.495 0.117
Hg 1.638 -4.018 -2.766
Te 1.942 -5.417 0.750
Te 3.810 -7.096 -3.399
Te 7.009 -9.849 -1.930
Te -1.258 -2.663 -0.718
Te 5.786 -5.753 1.612
Te -0.035 -6.759 -4.261
Au 5.292 -9.318 -3.995
Au 0.459 -3.194 1.346
```



# 2
Material: Hg2TeWAu
Method: DFT, PBE-GGA
State: relaxed

The value obtained for the density of states at the Fermi level is 5.15 states/eV/cell. The value obtained for the total energy is -14.2 eV per cell. The total magnetization is 2.7 μB per formula unit.

Structure (extended XYZ):
```
5
Lattice="5.202 0.000 0.000 0.000 5.267 0.000 0.000 0.000 5.202" Properties=species:S:1:pos:R:3 pbc="T T T"
Te 2.601 2.634 2.601
Au 0.000 0.000 0.000
Hg 0.000 0.000 2.601
Hg 2.601 0.000 0.000
W 0.000 2.634 0.000
```



# 3
Material: ZnHg2TeAu
Method: DFT, PBE-GGA
State: relaxed

The value obtained for the density of states at the Fermi level is 1.24 states/eV/cell. The value obtained for the total energy is -5.8 eV per cell. The total magnetization is 0.0 μB per formula unit.

Structure (extended XYZ):
```
5
Lattice="-5.179 -2.559 -0.765 0.203 -1.874 4.897 -2.661 4.804 1.949" Properties=species:S:1:pos:R:3 pbc="T T T"
Zn 0.102 -0.937 2.449
Te 0.000 0.000 0.000
Au -3.819 0.185 3.041
Hg -1.331 2.402 0.975
Hg -2.590 -1.280 -0.382
```



# 4
Material: Th4Hg5Au2
Method: DFT, PBE-GGA
State: relaxed

The value obtained for the density of states at the Fermi level is 10.29 states/eV/cell. The formation energy is -0.34 eV per atom. The total magnetization is 0.0 μB per formula unit.

Structure (extended XYZ):
```
11
Lattice="3.446 0.000 0.000 0.000 8.015 -0.078 0.000 -0.872 10.392" Properties=species:S:1:pos:R:3 pbc="T T T"
Th 1.723 5.440 5.693
Th 1.723 0.593 9.126
Th 1.723 1.702 4.622
Th 1.723 6.550 1.188
Hg 0.000 4.174 3.114
Hg 0.000 1.365 1.653
Hg 0.000 4.008 -0.039
Hg 0.000 5.778 8.662
Hg 0.000 2.968 7.201
Au 0.000 -0.048 6.607
Au 0.000 7.191 3.707
```



# 5
Material: ThHgAu
Method: DFT, PBE-GGA
State: relaxed

The value obtained for the density of states at the Fermi level is 5.46 states/eV/cell. The formation energy is -0.44 eV per atom. The total magnetization is 0.0 μB per formula unit.

Structure (extended XYZ):
```
6
Lattice="-0.687 3.895 -2.073 -4.401 -2.047 -2.389 -2.463 0.350 6.283" Properties=species:S:1:pos:R:3 pbc="T T T"
Hg -1.947 1.704 -0.963
Hg -5.604 0.493 2.784
Au -2.667 0.425 1.682
Au -4.883 1.773 0.140
Th -3.361 3.270 2.449
Th -4.189 -1.072 -0.628
```



# 6
Material: Th5HgAu4
Method: DFT, PBE-GGA
State: relaxed

The value obtained for the density of states at the Fermi level is 10.33 states/eV/cell. The formation energy is -0.49 eV per atom. The total magnetization is 0.0 μB per formula unit.

Structure (extended XYZ):
```
10
Lattice="3.742 0.000 0.000 0.000 3.742 0.000 0.000 0.000 18.706" Properties=species:S:1:pos:R:3 pbc="T T T"
Th 1.871 1.871 2.030
Th 1.871 1.871 5.700
Th 1.871 1.871 9.353
Th 1.871 1.871 13.005
Th 1.871 1.871 16.676
Hg 0.000 0.000 0.000
Au 0.000 0.000 3.808
Au 0.000 0.000 7.508
Au 0.000 0.000 11.197
Au 0.000 0.000 14.898
```



# 7
Material: Th3Hg4Au2
Method: DFT, PBE-GGA
State: relaxed

The value obtained for the density of states at the Fermi level is 6.87 states/eV/cell. The formation energy is -0.41 eV per atom. The total magnetization is 0.0 μB per formula unit.

Structure (extended XYZ):
```
9
Lattice="-1.227 -3.371 3.484 4.423 -1.770 -3.744 2.133 6.108 6.661" Properties=species:S:1:pos:R:3 pbc="T T T"
Th 2.086 1.189 5.473
Th 0.000 0.000 0.000
Th 3.244 -0.221 0.928
Hg 1.177 -2.861 1.235
Hg 4.153 3.829 5.167
Hg 4.109 -1.016 4.052
Hg 1.221 1.984 2.349
Au 0.809 -0.747 3.151
Au 4.521 1.715 3.251
```



# 8
Material: Th2HgAu
Method: DFT, PBE-GGA
State: relaxed

For the energy relative to the lowest polymorph listed for this composition, the calculation gives 0.0 meV/atom. The value obtained for the density of states at the Fermi level is 6.80 states/eV/cell. The formation energy is -0.38 eV per atom. The total magnetization is 0.0 μB per formula unit.

Structure (extended XYZ):
```
8
Lattice="-2.265 1.434 -3.825 0.402 -5.919 -2.457 -6.479 0.389 3.982" Properties=species:S:1:pos:R:3 pbc="T T T"
Th -4.395 0.135 -1.625
Th -3.947 -4.231 -0.675
Th -0.782 -4.391 -2.610
Th -7.560 0.295 0.309
Hg -1.816 -1.652 -0.970
Hg -6.526 -2.444 -1.330
Au -3.304 -2.659 -3.318
Au -5.037 -1.437 1.018
```